DFT (GGA-PBE) results for a relaxed structure of KCoMoI2.

Structure (POSCAR):
```
KCoMoI2
1.0
5.596 0.000 0.000
0.000 7.757 0.000
0.000 0.000 5.596
I Co K Mo
2 1 1 1
Cartesian
0.000 0.000 2.798
2.798 0.000 0.000
2.798 3.878 2.798
0.000 3.878 0.000
0.000 0.000 0.000
```

## Properties
Raw formation energy = 1.06 eV per atom